1.
The following is a PBE calculation of a relaxed NbZnCoNi crystal, from Alexandria.

ΔE_f: -0.17 eV per atom
total moment: 1.14 μB per formula unit
energy above the lowest structure with this stoichiometry: 9 meV per atom
D(E_F): 16.19 states/eV/cell
theoretical density: 8.63 Mg/m³

a = 5.966 Å, b = 5.966 Å, c = 5.966 Å
α = 90.00°, β = 90.00°, γ = 90.00°
Space group F-43m (No. 216)
Asymmetric unit:
Nb 0.000 0.000 0.000
Zn 0.000 0.000 0.500
Co 0.250 0.250 0.250
Ni 0.250 0.250 0.750

2.
The following is a PBE calculation of a relaxed NpNb2Co crystal, from Alexandria.

ΔE_f: 0.52 eV per atom
total moment: 4.08 μB per formula unit
D(E_F): 23.94 states/eV/cell
theoretical density: 11.25 Mg/m³

a = 2.8496 Å, b = 2.8496 Å, c = 30.3396 Å
α = 90.00°, β = 90.00°, γ = 120.00°
Space group R-3m (No. 166, hexagonal axes)
Asymmetric unit:
Np 0.0000 0.0000 0.0000
Nb 0.0000 0.0000 0.0970
Co 0.0000 0.0000 0.5000